[1]
A plane-wave DFT calculation with PBE was carried out for crystalline Cd2FeCo at its relaxed geometry.

Unit cell a=4.967 b=4.967 c=4.967 alpha=133.32 beta=133.32 gamma=68.15
Site moments in Bohr magnetons follow the coordinates.
Atoms (fractional coordinates):
Cd  0.500  0.500  0.000  -0.04
Cd  0.000  0.000  0.000  -0.04
Fe  0.750  0.250  0.500  2.78
Co  0.250  0.750  0.500  1.52

ΔH_f (0 K)   1.5 eV per formula unit
Space-group type   No. 139
Total moment   4.17 μB/f.u.

=====

[2]
A plane-wave DFT calculation with PBE was carried out for crystalline CdFeCo2 at its relaxed geometry.

Unit cell a=3.963 b=3.963 c=3.407 alpha=90.00 beta=90.00 gamma=89.94
Site moments in Bohr magnetons follow the coordinates.
Atoms (fractional coordinates):
Fe  0.500  0.000  0.500  2.86
Co  0.500  0.500  0.000  1.53
Co  0.000  0.000  0.000  1.53
Cd  0.000  0.500  0.500  -0.06

ΔH_f (0 K)   1.2 eV per formula unit
Space-group type   No. 123
Total moment   5.75 μB/f.u.

=====

[3]
A plane-wave DFT calculation with PBE was carried out for crystalline CdFe2Co at its relaxed geometry.

Unit cell a=4.594 b=4.594 c=4.594 alpha=130.80 beta=130.80 gamma=72.13
Site moments in Bohr magnetons follow the coordinates.
Atoms (fractional coordinates):
Co  0.750  0.250  0.500  1.55
Fe  0.250  0.750  0.500  2.64
Fe  0.000  0.000  0.000  2.62
Cd  0.500  0.500  0.000  -0.06

ΔH_f (0 K)   1.2 eV per formula unit
Space-group type   No. 119
Total moment   6.67 μB/f.u.

=====

[4]
A plane-wave DFT calculation with PBE was carried out for crystalline CdFe2Co at its relaxed geometry.

Unit cell a=4.249 b=4.249 c=4.249 alpha=60.00 beta=60.00 gamma=60.00
Site moments in Bohr magnetons follow the coordinates.
Atoms (fractional coordinates):
Fe  0.250  0.250  0.250  2.60
Fe  0.000  0.000  0.000  2.68
Co  0.750  0.750  0.750  1.50
Cd  0.500  0.500  0.500  -0.06

ΔH_f (0 K)   1.2 eV per formula unit
Space-group type   No. 216
Total moment   6.57 μB/f.u.

=====

[5]
A plane-wave DFT calculation with PBE was carried out for crystalline Cd2FeCoH at its relaxed geometry.

Unit cell a=5.020 b=4.313 c=5.020 alpha=90.00 beta=90.00 gamma=90.00
Site moments in Bohr magnetons follow the coordinates.
Atoms (fractional coordinates):
Cd  0.500  0.000  0.000  -0.02
Cd  0.000  0.000  0.500  0.03
Fe  0.000  0.500  0.000  -3.21
H  0.500  0.500  0.500  -0.23
Co  0.000  0.000  0.000  -1.23

Space-group type   No. 123
Total moment   5.03 μB/f.u.
Energy   -3.09 eV per atom

=====

[6]
A plane-wave DFT calculation with PBE was carried out for crystalline HfCdFe2Co at its relaxed geometry.

Unit cell a=4.599 b=4.572 c=4.599 alpha=90.00 beta=90.00 gamma=90.00
Site moments in Bohr magnetons follow the coordinates.
Atoms (fractional coordinates):
Co  0.000  0.500  0.000  0.75
Cd  0.500  0.500  0.500  -0.03
Hf  0.000  0.000  0.000  -0.42
Fe  0.500  0.000  0.000  2.18
Fe  0.000  0.000  0.500  2.08

ΔH_f (0 K)   6.4 eV per formula unit
Space-group type   No. 123
Total moment   4.46 μB/f.u.

=====

[7]
A plane-wave DFT calculation with PBE was carried out for crystalline CdFe2CoIr at its relaxed geometry.

Unit cell a=4.465 b=4.512 c=4.465 alpha=90.00 beta=90.00 gamma=90.00
Site moments in Bohr magnetons follow the coordinates.
Atoms (fractional coordinates):
Co  0.000  0.500  0.000  0.09
Fe  0.500  0.000  0.000  0.11
Fe  0.000  0.000  0.500  0.07
Cd  0.500  0.500  0.500  -0.01
Ir  0.000  0.000  0.000  0.00

ΔH_f (0 K)   7.1 eV per formula unit
Space-group type   No. 123
Total moment   0.27 μB/f.u.

=====

[8]
A plane-wave DFT calculation with PBE was carried out for crystalline MnCdFe2Co at its relaxed geometry.

Unit cell a=4.046 b=4.809 c=4.046 alpha=90.00 beta=90.00 gamma=90.00
Site moments in Bohr magnetons follow the coordinates.
Atoms (fractional coordinates):
Co  0.500  0.500  0.500  1.78
Fe  0.000  0.000  0.500  1.65
Fe  0.500  0.000  0.000  1.52
Mn  0.000  0.000  0.000  -0.01
Cd  0.000  0.500  0.000  -0.01

ΔH_f (0 K)   6.9 eV per formula unit
Space-group type   No. 123
Total moment   4.86 μB/f.u.

=====

[9]
A plane-wave DFT calculation with PBE was carried out for crystalline CdFeCo2N at its relaxed geometry.

Unit cell a=3.876 b=3.876 c=3.867 alpha=90.00 beta=90.00 gamma=90.00
Site moments in Bohr magnetons follow the coordinates.
Atoms (fractional coordinates):
Cd  0.500  0.500  0.500  -0.06
Co  0.500  0.000  0.000  1.14
Co  0.000  0.500  0.000  1.14
Fe  0.000  0.000  0.500  2.33
N  0.000  0.000  0.000  0.05

Space-group type   No. 123
Total moment   4.51 μB/f.u.
Formation energy from raw total energies   0.020 eV per atom